## Sc2AgW (PBE-GGA)

Data for a relaxed Sc2AgW crystal.

Cell and atoms, written as CIF:
```
data_Sc2AgW
_chemical_formula_sum 'Sc2 Ag1 W1'
_space_group_name_H-M_alt 'P 1'
_space_group_IT_number 1
_cell_length_a 10.170
_cell_length_b 10.170
_cell_length_c 10.170
_cell_angle_alpha 16.97
_cell_angle_beta 16.97
_cell_angle_gamma 16.97
loop_
_space_group_symop_operation_xyz
'x,y,z'
loop_
_atom_site_label
_atom_site_fract_x
_atom_site_fract_y
_atom_site_fract_z
Sc1 0.244 0.244 0.244
Sc2 0.004 0.004 0.004
Ag1 0.753 0.753 0.753
W1 0.499 0.499 0.499
```

Total magnetization (μB/f.u.): 0.928
V (Å³ per cell): 78.2
Offset from the most stable computed form (meV per atom): 320
SG: R3m
Calculated total energy (eV/atom): -6.75
Crystal system: trigonal
ΔH_f (0 K) (eV/f.u.): 1.486

## Pr3Nd2Pb4 (PBE-GGA)

Data for a relaxed Pr3Nd2Pb4 crystal.

Cell and atoms, written as CIF:
```
data_Pr3Nd2Pb4
_chemical_formula_sum 'Pr3 Nd2 Pb4'
_space_group_name_H-M_alt 'P 1'
_space_group_IT_number 1
_cell_length_a 4.997
_cell_length_b 7.345
_cell_length_c 10.529
_cell_angle_alpha 122.45
_cell_angle_beta 90.00
_cell_angle_gamma 109.89
loop_
_space_group_symop_operation_xyz
'x,y,z'
loop_
_atom_site_label
_atom_site_fract_x
_atom_site_fract_y
_atom_site_fract_z
Pb1 0.674 0.348 0.029
Nd1 0.355 0.710 0.683
Pr1 0.646 0.292 0.699
Pr2 0.354 0.708 0.301
Pb2 0.326 0.652 0.971
Nd2 0.645 0.290 0.317
Pr3 0.000 0.000 0.000
Pb3 0.063 0.127 0.413
Pb4 0.937 0.873 0.587
```

Total magnetization (μB/f.u.): 0.000
V (Å³ per cell): 298.5
Offset from the most stable computed form (meV per atom): 148
SG: C2/m
Calculated total energy (eV/atom): -4.74
Crystal system: monoclinic
ΔH_f (0 K) (eV/f.u.): -3.944

## CaHf3Pt (PBE-GGA)

Data for a relaxed CaHf3Pt crystal.

Cell and atoms, written as CIF:
```
data_CaHf3Pt
_chemical_formula_sum 'Ca1 Hf3 Pt1'
_space_group_name_H-M_alt 'P 1'
_space_group_IT_number 1
_cell_length_a 4.868
_cell_length_b 4.868
_cell_length_c 4.868
_cell_angle_alpha 90.00
_cell_angle_beta 90.00
_cell_angle_gamma 90.00
loop_
_space_group_symop_operation_xyz
'x,y,z'
loop_
_atom_site_label
_atom_site_fract_x
_atom_site_fract_y
_atom_site_fract_z
Hf1 0.000 0.500 0.000
Hf2 0.500 0.000 0.000
Ca1 0.000 0.000 0.000
Pt1 0.500 0.500 0.500
Hf3 0.000 0.000 0.500
```

Total magnetization (μB/f.u.): 0.000
V (Å³ per cell): 115.4
Offset from the most stable computed form (meV per atom): 1604
SG: Pm-3m
Calculated total energy (eV/atom): -5.82
Crystal system: cubic
ΔH_f (0 K) (eV/f.u.): 8.788

## Ba2SnIrN (PBE-GGA)

Data for a relaxed Ba2SnIrN crystal.

Cell and atoms, written as CIF:
```
data_Ba2SnIrN
_chemical_formula_sum 'Ba2 Sn1 Ir1 N1'
_space_group_name_H-M_alt 'P 1'
_space_group_IT_number 1
_cell_length_a 6.102
_cell_length_b 6.102
_cell_length_c 3.772
_cell_angle_alpha 90.00
_cell_angle_beta 90.00
_cell_angle_gamma 90.00
loop_
_space_group_symop_operation_xyz
'x,y,z'
loop_
_atom_site_label
_atom_site_fract_x
_atom_site_fract_y
_atom_site_fract_z
N1 0.000 0.000 0.000
Sn1 0.500 0.500 0.500
Ir1 0.000 0.000 0.500
Ba1 0.000 0.500 0.000
Ba2 0.500 0.000 0.000
```

Total magnetization (μB/f.u.): 0.000
V (Å³ per cell): 140.5
SG: P4/mmm
Formation energy (no corrections) (eV per atom): -0.475
Calculated total energy (eV/atom): -5.48
Crystal system: tetragonal

## UNi2P2Ir (PBE-GGA)

Data for a relaxed UNi2P2Ir crystal.

Cell and atoms, written as CIF:
```
data_UNi2P2Ir
_chemical_formula_sum 'U2 Ni4 P4 Ir2'
_space_group_name_H-M_alt 'P 1'
_space_group_IT_number 1
_cell_length_a 3.681
_cell_length_b 5.974
_cell_length_c 8.048
_cell_angle_alpha 90.00
_cell_angle_beta 90.00
_cell_angle_gamma 90.00
loop_
_space_group_symop_operation_xyz
'x,y,z'
loop_
_atom_site_label
_atom_site_fract_x
_atom_site_fract_y
_atom_site_fract_z
Ir1 0.500 0.660 0.260
P1 0.500 0.772 0.690
P2 0.000 0.248 0.904
Ir2 0.500 0.160 0.740
Ni1 0.500 0.542 0.915
U1 0.000 0.963 0.438
Ni2 0.500 0.042 0.085
P3 0.000 0.748 0.096
Ni3 0.000 0.862 0.845
P4 0.500 0.272 0.310
U2 0.000 0.463 0.562
Ni4 0.000 0.362 0.155
```

Total magnetization (μB/f.u.): 2.193
V (Å³ per cell): 177.0
SG: Pmc2_1
Calculated total energy (eV/atom): -7.62
Crystal system: orthorhombic
ΔH_f (0 K) (eV/f.u.): -3.207

## SmThAu2 (PBE-GGA)

Data for a relaxed SmThAu2 crystal.

Cell and atoms, written as CIF:
```
data_SmThAu2
_chemical_formula_sum 'Sm1 Th1 Au2'
_space_group_name_H-M_alt 'P 1'
_space_group_IT_number 1
_cell_length_a 3.934
_cell_length_b 4.720
_cell_length_c 5.971
_cell_angle_alpha 90.00
_cell_angle_beta 109.33
_cell_angle_gamma 90.00
loop_
_space_group_symop_operation_xyz
'x,y,z'
loop_
_atom_site_label
_atom_site_fract_x
_atom_site_fract_y
_atom_site_fract_z
Au1 0.170 0.500 0.880
Sm1 0.721 0.000 0.981
Au2 0.993 0.000 0.525
Th1 0.447 0.500 0.432
```

Total magnetization (μB/f.u.): 0.000
V (Å³ per cell): 104.6
SG: Pm
Calculated total energy (eV/atom): -5.39
Crystal system: monoclinic
ΔH_f (0 K) (eV/f.u.): -2.869

## KRbCa2Au (PBE-GGA)

Data for a relaxed KRbCa2Au crystal.

Cell and atoms, written as CIF:
```
data_KRbCa2Au
_chemical_formula_sum 'K1 Rb1 Ca2 Au1'
_space_group_name_H-M_alt 'P 1'
_space_group_IT_number 1
_cell_length_a 5.920
_cell_length_b 5.920
_cell_length_c 6.851
_cell_angle_alpha 90.00
_cell_angle_beta 90.00
_cell_angle_gamma 90.00
loop_
_space_group_symop_operation_xyz
'x,y,z'
loop_
_atom_site_label
_atom_site_fract_x
_atom_site_fract_y
_atom_site_fract_z
Au1 0.000 0.000 0.000
Ca1 0.500 0.000 0.000
K1 0.500 0.500 0.500
Rb1 0.000 0.000 0.500
Ca2 0.000 0.500 0.000
```

Total magnetization (μB/f.u.): 0.000
V (Å³ per cell): 240.1
Offset from the most stable computed form (meV per atom): 8
SG: P4/mmm
Calculated total energy (eV/atom): -2.04
Crystal system: tetragonal
ΔH_f (0 K) (eV/f.u.): -0.856

## Rb2ScPbCl6 (PBE-GGA)

Data for a relaxed Rb2ScPbCl6 crystal.

Cell and atoms, written as CIF:
```
data_Rb2ScPbCl6
_chemical_formula_sum 'Rb2 Sc1 Pb1 Cl6'
_space_group_name_H-M_alt 'P 1'
_space_group_IT_number 1
_cell_length_a 7.117
_cell_length_b 7.301
_cell_length_c 8.903
_cell_angle_alpha 115.22
_cell_angle_beta 122.42
_cell_angle_gamma 90.68
loop_
_space_group_symop_operation_xyz
'x,y,z'
loop_
_atom_site_label
_atom_site_fract_x
_atom_site_fract_y
_atom_site_fract_z
Rb1 0.227 0.723 0.449
Cl1 0.694 0.173 0.853
Cl2 0.670 0.682 0.840
Sc1 0.000 0.000 0.000
Cl3 0.330 0.319 0.159
Rb2 0.772 0.278 0.550
Cl4 0.952 0.829 0.669
Pb1 0.500 0.500 0.000
Cl5 0.305 0.828 0.146
Cl6 0.048 0.171 0.331
```

Total magnetization (μB/f.u.): 1.000
V (Å³ per cell): 335.4
Offset from the most stable computed form (meV per atom): 0
SG: P-1
Formation energy (no corrections) (eV per atom): -1.728
Calculated total energy (eV/atom): -4.03
Crystal system: triclinic